This record from Alexandria via LeMat-Bulk describes a geometry-optimized SmDyPuO6 structure. The functional is PBE.

Values from the calculation:
- Symmetry: P-31c, No. 163
- Energy relative to the elements, uncorrected: -3.046 eV per atom
- Fermi-level density of states: 0.810 states/eV/atom
- Magnetic moment: 2.0 μB/f.u.

The structure in POSCAR format:
```
SmDyPuO6
1.0
5.758 0.000 0.000
-2.879 4.986 0.000
0.000 0.000 9.628
O Pu Dy Sm
12 2 2 2
direct
0.638 0.664 0.636
0.026 0.664 0.864
0.664 0.638 0.136
0.664 0.026 0.364
0.974 0.638 0.364
0.362 0.336 0.364
0.336 0.362 0.864
0.638 0.974 0.864
0.362 0.026 0.136
0.974 0.336 0.136
0.026 0.362 0.636
0.336 0.974 0.636
0.667 0.333 0.250
0.333 0.667 0.750
0.667 0.333 0.750
0.333 0.667 0.250
0.000 0.000 0.500
0.000 0.000 0.000
```